Material: In2SnBr
Method: DFT, PBE
State: optimized geometry

a b c (Å): 4.3284 4.3284 23.4849
angles (deg): 90.00 90.00 120.00
Last column: nearest neighbours and their distance in Å.
Atoms (fractional coordinates):
In  0.0000  0.0000  0.0000  3 Sn 3.00, 3 Br 3.26
In  0.0000  0.0000  0.1879  3 Sn 3.05, 3 Br 3.41
In  0.3333  0.6667  0.6667  3 Sn 3.00, 3 Br 3.26
In  0.3333  0.6667  0.8546  3 Sn 3.05, 3 Br 3.41
In  0.6667  0.3333  0.3333  3 Sn 3.00, 3 Br 3.26
In  0.6667  0.3333  0.5213  3 Sn 3.05, 3 Br 3.41
Sn  0.0000  0.0000  0.5958  6 In 3.00-3.05
Sn  0.3333  0.6667  0.2625  6 In 3.00-3.05
Sn  0.6667  0.3333  0.9292  6 In 3.00-3.05
Br  0.0000  0.0000  0.4224  6 In 3.26-3.41
Br  0.3333  0.6667  0.0891  6 In 3.26-3.41
Br  0.6667  0.3333  0.7558  6 In 3.26-3.41

Properties
Formation energy from raw total energies = -9 kJ/mol of atoms
Space-group type = R3m
Relative energy among the computed polymorphs = 90 meV/atom
Magnetization = 0.00 μB per cell